1.
Here is Tl3Pt after structural relaxation from the Alexandria database. Energies are from PBE.

Cell and atoms, written as POSCAR:
```
Tl3Pt
1.0
3.360 0.000 0.000
0.000 4.638 0.000
0.000 0.000 13.852
Tl Pt
6 2
direct
0.000 0.000 0.000
0.000 0.500 0.182
0.000 0.500 0.818
0.500 0.000 0.318
0.500 0.000 0.682
0.500 0.500 0.500
0.000 0.000 0.500
0.500 0.500 0.000
```

Its formation energy from the elements is 0.02 eV/atom. The calculated density is 12.434 Mg/m³. Its energy above the most stable polymorph in this dataset is 0.18 eV/f.u. As for the total DFT energy (no corrections): -26.09 eV for the cell shown. The space group is No. 71. For the magnetization, the calculation gives 0.000 μB per atom.


2.
Here is TlPt after structural relaxation from the Alexandria database. Energies are from PBE.

Cell and atoms, written as POSCAR:
```
TlPt
1.0
10.902 0.000 0.000
0.000 10.902 0.000
0.000 0.000 4.347
Tl Pt
8 8
direct
0.045 0.298 0.000
0.202 0.545 0.500
0.298 0.955 0.000
0.455 0.202 0.500
0.545 0.798 0.500
0.702 0.045 0.000
0.798 0.455 0.500
0.955 0.702 0.000
0.200 0.704 0.000
0.204 0.300 0.500
0.296 0.200 0.000
0.300 0.796 0.500
0.700 0.204 0.500
0.704 0.800 0.000
0.796 0.700 0.500
0.800 0.296 0.000
```

Its formation energy from the elements is 0.15 eV/atom. The calculated density is 10.271 Mg/m³. As for the total DFT energy (no corrections): -64.88 eV for the cell shown. The space group is No. 87. For the magnetization, the calculation gives 0.000 μB per atom.


3.
Here is TlPt after structural relaxation from the Alexandria database. Energies are from PBE.

Cell and atoms, written as POSCAR:
```
TlPt
1.0
3.044 0.000 0.000
0.000 18.154 0.000
0.000 0.000 4.694
Tl Pt
6 6
direct
0.250 0.093 0.117
0.250 0.407 0.117
0.250 0.750 0.342
0.750 0.250 0.658
0.750 0.593 0.883
0.750 0.907 0.883
0.250 0.250 0.161
0.250 0.558 0.375
0.250 0.942 0.375
0.750 0.058 0.625
0.750 0.442 0.625
0.750 0.750 0.839
```

Its formation energy from the elements is 0.06 eV/atom. The calculated density is 15.341 Mg/m³. As for the total DFT energy (no corrections): -49.67 eV for the cell shown. The space group is No. 59. For the magnetization, the calculation gives 0.000 μB per atom.


4.
Here is TlPt after structural relaxation from the Alexandria database. Energies are from PBE.

Cell and atoms, written as POSCAR:
```
TlPt
1.0
7.674 0.000 0.000
0.000 7.674 0.000
0.000 0.000 7.674
Tl Pt
6 6
direct
0.000 0.250 0.500
0.000 0.750 0.500
0.250 0.500 0.000
0.500 0.000 0.250
0.500 0.000 0.750
0.750 0.500 0.000
0.000 0.500 0.250
0.000 0.500 0.750
0.250 0.000 0.500
0.500 0.250 0.000
0.500 0.750 0.000
0.750 0.000 0.500
```

Its formation energy from the elements is 0.48 eV/atom. The calculated density is 8.806 Mg/m³. As for the total DFT energy (no corrections): -44.67 eV for the cell shown. The space group is No. 223. For the magnetization, the calculation gives 0.000 μB per atom.


5.
Here is TlPt6 after structural relaxation from the Alexandria database. Energies are from PBE.

Cell and atoms, written as POSCAR:
```
TlPt6
1.0
7.086 0.000 0.000
0.000 7.086 0.000
0.000 0.000 7.086
Tl Pt
2 12
direct
0.000 0.000 0.000
0.500 0.500 0.500
0.000 0.250 0.500
0.000 0.500 0.250
0.000 0.500 0.750
0.000 0.750 0.500
0.250 0.000 0.500
0.250 0.500 0.000
0.500 0.000 0.250
0.500 0.000 0.750
0.500 0.250 0.000
0.500 0.750 0.000
0.750 0.000 0.500
0.750 0.500 0.000
```

Its formation energy from the elements is 0.60 eV/atom. The calculated density is 12.834 Mg/m³. As for the total DFT energy (no corrections): -68.83 eV for the cell shown. The space group is No. 229. For the magnetization, the calculation gives 0.323 μB per atom.


6.
Here is Tl2Pt after structural relaxation from the Alexandria database. Energies are from PBE.

Cell and atoms, written as POSCAR:
```
Tl2Pt
1.0
5.051 0.000 0.000
-2.526 4.375 0.000
0.000 0.000 3.209
Tl Pt
2 1
direct
0.333 0.667 0.242
0.667 0.333 0.758
0.000 0.000 0.000
```

Its formation energy from the elements is 0.16 eV/atom. The calculated density is 14.142 Mg/m³. As for the total DFT energy (no corrections): -10.30 eV for the cell shown. The space group is No. 164. For the magnetization, the calculation gives 0.000 μB per atom.


7.
Here is TlPt3 after structural relaxation from the Alexandria database. Energies are from PBE.

Cell and atoms, written as POSCAR:
```
TlPt3
1.0
3.045 0.000 0.000
0.000 3.045 0.000
0.000 0.000 7.516
Tl Pt
1 3
direct
0.000 0.000 0.000
0.000 0.000 0.500
0.500 0.500 0.263
0.500 0.500 0.737
```

Its formation energy from the elements is 0.12 eV/atom. The calculated density is 18.812 Mg/m³. As for the total DFT energy (no corrections): -20.00 eV for the cell shown. The space group is No. 123. For the magnetization, the calculation gives 0.000 μB per atom.


8.
Here is TlPt after structural relaxation from the Alexandria database. Energies are from PBE.

Cell and atoms, written as POSCAR:
```
TlPt
1.0
5.501 0.000 0.000
0.000 6.817 0.000
0.000 0.000 9.233
Tl Pt
8 8
direct
0.042 0.179 0.104
0.209 0.334 0.604
0.291 0.666 0.104
0.458 0.821 0.604
0.542 0.321 0.896
0.709 0.166 0.396
0.791 0.834 0.896
0.958 0.679 0.396
0.034 0.463 0.873
0.219 0.044 0.369
0.281 0.956 0.869
0.466 0.537 0.373
0.534 0.037 0.127
0.719 0.456 0.631
0.781 0.544 0.131
0.966 0.963 0.627
```

Its formation energy from the elements is 0.03 eV/atom. The calculated density is 15.328 Mg/m³. As for the total DFT energy (no corrections): -66.82 eV for the cell shown. The space group is No. 19. For the magnetization, the calculation gives 0.000 μB per atom.